# PBE MgBeSbW2, relaxed
# VASP energy: -6.23 eV per atom
# Fermi-level density of states: 4.9 states/eV per cell
# SG: P4/mmm (123)
# ΔE_f (raw): 0.838 eV/atom
# Total moment: 0.00 μB per cell
# Volume: 16.814 Å³ per atom
data_MgBeSbW2
_symmetry_space_group_name_H-M 'P 1'
_symmetry_Int_Tables_number 1
_cell_length_a 4.381
_cell_length_b 4.381
_cell_length_c 4.381
_cell_angle_alpha 90.00
_cell_angle_beta 90.00
_cell_angle_gamma 90.00
loop_
_symmetry_equiv_pos_as_xyz
'x,y,z'
loop_
_atom_site_label
_atom_site_type_symbol
_atom_site_fract_x
_atom_site_fract_y
_atom_site_fract_z
Mg1 Mg 0.000 0.000 0.000
Be1 Be 0.000 0.000 0.500
Sb1 Sb 0.500 0.500 0.000
W1 W 0.000 0.500 0.500
W2 W 0.500 0.000 0.500


# PBE Al5Rh, relaxed
# VASP energy: -4.68 eV per atom
# Fermi-level density of states: 2.5 states/eV per cell
# SG: P4/mmm (123)
# Total moment: 0.00 μB per cell
# Volume: 15.708 Å³ per atom
data_Al5Rh
_symmetry_space_group_name_H-M 'P 1'
_symmetry_Int_Tables_number 1
_cell_length_a 2.860
_cell_length_b 2.860
_cell_length_c 11.519
_cell_angle_alpha 90.00
_cell_angle_beta 90.00
_cell_angle_gamma 90.00
loop_
_symmetry_equiv_pos_as_xyz
'x,y,z'
loop_
_atom_site_label
_atom_site_type_symbol
_atom_site_fract_x
_atom_site_fract_y
_atom_site_fract_z
Al1 Al 0.000 0.000 0.000
Al2 Al 0.000 0.000 0.360
Al3 Al 0.000 0.000 0.640
Al4 Al 0.500 0.500 0.180
Al5 Al 0.500 0.500 0.820
Rh1 Rh 0.500 0.500 0.500


# PBE BaP2OsCl, relaxed
# VASP energy: -3.31 eV per atom
# Fermi-level density of states: 10.2 states/eV per cell
# SG: P4/mmm (123)
# ΔE_f (raw): 1.854 eV/atom
# Polymorph energy (0 for the lowest one): 2.3238 eV per atom
# Total moment: 0.25 μB per cell
# Volume: 44.373 Å³ per atom
data_BaP2OsCl
_symmetry_space_group_name_H-M 'P 1'
_symmetry_Int_Tables_number 1
_cell_length_a 6.222
_cell_length_b 6.222
_cell_length_c 5.731
_cell_angle_alpha 90.00
_cell_angle_beta 90.00
_cell_angle_gamma 90.00
loop_
_symmetry_equiv_pos_as_xyz
'x,y,z'
loop_
_atom_site_label
_atom_site_type_symbol
_atom_site_fract_x
_atom_site_fract_y
_atom_site_fract_z
Ba1 Ba 0.000 0.000 0.000
P1 P 0.000 0.500 0.000
P2 P 0.500 0.000 0.000
Os1 Os 0.500 0.500 0.500
Cl1 Cl 0.000 0.000 0.500


# PBE SmTmPd4, relaxed
# VASP energy: -5.68 eV per atom
# Fermi-level density of states: 5.2 states/eV per cell
# SG: Cmmm (65)
# Polymorph energy (0 for the lowest one): 0.1202 eV per atom
# Total moment: 0.00 μB per cell
# Volume: 20.800 Å³ per atom
data_SmTmPd4
_symmetry_space_group_name_H-M 'P 1'
_symmetry_Int_Tables_number 1
_cell_length_a 15.483
_cell_length_b 15.483
_cell_length_c 3.953
_cell_angle_alpha 90.00
_cell_angle_beta 90.00
_cell_angle_gamma 164.73
loop_
_symmetry_equiv_pos_as_xyz
'x,y,z'
loop_
_atom_site_label
_atom_site_type_symbol
_atom_site_fract_x
_atom_site_fract_y
_atom_site_fract_z
Sm1 Sm 0.200 0.800 0.000
Sm2 Sm 0.800 0.200 0.000
Tm1 Tm 0.433 0.567 0.500
Tm2 Tm 0.567 0.433 0.500
Pd1 Pd 0.000 0.000 0.500
Pd2 Pd 0.131 0.869 0.500
Pd3 Pd 0.285 0.715 0.500
Pd4 Pd 0.367 0.633 0.000
Pd5 Pd 0.500 0.500 0.000
Pd6 Pd 0.633 0.367 0.000
Pd7 Pd 0.715 0.285 0.500
Pd8 Pd 0.869 0.131 0.500


# PBE NdDy8Ho3, relaxed
# VASP energy: -4.60 eV per atom
# Fermi-level density of states: 22.2 states/eV per cell
# SG: Imm2 (44)
# Total moment: 0.00 μB per cell
# Volume: 32.083 Å³ per atom
data_NdDy8Ho3
_symmetry_space_group_name_H-M 'P 1'
_symmetry_Int_Tables_number 1
_cell_length_a 8.441
_cell_length_b 8.441
_cell_length_c 8.441
_cell_angle_alpha 99.90
_cell_angle_beta 96.00
_cell_angle_gamma 136.36
loop_
_symmetry_equiv_pos_as_xyz
'x,y,z'
loop_
_atom_site_label
_atom_site_type_symbol
_atom_site_fract_x
_atom_site_fract_y
_atom_site_fract_z
Nd1 Nd 0.000 0.000 0.000
Dy1 Dy 0.000 0.334 0.335
Dy2 Dy 0.000 0.665 0.665
Dy3 Dy 0.420 0.001 0.085
Dy4 Dy 0.420 0.335 0.419
Dy5 Dy 0.499 0.331 0.832
Dy6 Dy 0.499 0.667 0.168
Dy7 Dy 0.916 0.001 0.581
Dy8 Dy 0.916 0.335 0.915
Ho1 Ho 0.416 0.667 0.749
Ho2 Ho 0.499 0.999 0.500
Ho3 Ho 0.918 0.667 0.251


# PBE Ac4ZnIn2, relaxed
# VASP energy: -3.57 eV per atom
# Fermi-level density of states: 8.0 states/eV per cell
# SG: R-3m (166)
# Polymorph energy (0 for the lowest one): 0.0000 eV per atom
# Total moment: 0.00 μB per cell
# Volume: 36.840 Å³ per atom
data_Ac4ZnIn2
_symmetry_space_group_name_H-M 'P 1'
_symmetry_Int_Tables_number 1
_cell_length_a 9.762
_cell_length_b 9.762
_cell_length_c 9.762
_cell_angle_alpha 33.90
_cell_angle_beta 33.90
_cell_angle_gamma 33.90
loop_
_symmetry_equiv_pos_as_xyz
'x,y,z'
loop_
_atom_site_label
_atom_site_type_symbol
_atom_site_fract_x
_atom_site_fract_y
_atom_site_fract_z
Ac1 Ac 0.124 0.124 0.124
Ac2 Ac 0.375 0.375 0.375
Ac3 Ac 0.625 0.625 0.625
Ac4 Ac 0.876 0.876 0.876
Zn1 Zn 0.500 0.500 0.500
In1 In 0.250 0.250 0.250
In2 In 0.750 0.750 0.750


# PBE KSb2Te3, relaxed
# VASP energy: -3.43 eV per atom
# SG: P1 (1)
# ΔE_f (raw): -0.306 eV/atom
# Polymorph energy (0 for the lowest one): 0.0000 eV per atom
# Total moment: 0.00 μB per cell
# Volume: 38.806 Å³ per atom
data_KSb2Te3
_symmetry_space_group_name_H-M 'P 1'
_symmetry_Int_Tables_number 1
_cell_length_a 7.883
_cell_length_b 7.997
_cell_length_c 8.263
_cell_angle_alpha 69.63
_cell_angle_beta 72.52
_cell_angle_gamma 83.00
loop_
_symmetry_equiv_pos_as_xyz
'x,y,z'
loop_
_atom_site_label
_atom_site_type_symbol
_atom_site_fract_x
_atom_site_fract_y
_atom_site_fract_z
K1 K 0.000 0.000 0.000
K2 K 0.205 0.770 0.534
Sb1 Sb 0.085 0.423 0.287
Sb2 Sb 0.585 0.236 0.338
Sb3 Sb 0.612 0.392 0.757
Sb4 Sb 0.620 0.622 0.141
Te1 Te 0.324 0.305 0.643
Te2 Te 0.380 0.146 0.148
Te3 Te 0.436 0.696 0.872
Te4 Te 0.814 0.671 0.429
Te5 Te 0.899 0.131 0.565
Te6 Te 0.947 0.472 0.973


# PBE Tb6CeSmTm2, relaxed
# VASP energy: -4.49 eV per atom
# Fermi-level density of states: 21.8 states/eV per cell
# SG: C2/m (12)
# Total moment: 1.97 μB per cell
# Volume: 32.760 Å³ per atom
data_Tb6CeSmTm2
_symmetry_space_group_name_H-M 'P 1'
_symmetry_Int_Tables_number 1
_cell_length_a 6.597
_cell_length_b 6.597
_cell_length_c 8.972
_cell_angle_alpha 104.34
_cell_angle_beta 104.34
_cell_angle_gamma 61.18
loop_
_symmetry_equiv_pos_as_xyz
'x,y,z'
loop_
_atom_site_label
_atom_site_type_symbol
_atom_site_fract_x
_atom_site_fract_y
_atom_site_fract_z
Tb1 Tb 0.092 0.575 0.195
Tb2 Tb 0.134 0.134 0.418
Tb3 Tb 0.425 0.908 0.805
Tb4 Tb 0.575 0.092 0.195
Tb5 Tb 0.866 0.866 0.582
Tb6 Tb 0.908 0.425 0.805
Ce1 Ce 0.000 0.000 0.000
Sm1 Sm 0.500 0.500 0.500
Tm1 Tm 0.409 0.409 0.830
Tm2 Tm 0.591 0.591 0.170


# PBE TmP2Rh5Au, relaxed
# VASP energy: -6.71 eV per atom
# Fermi-level density of states: 6.0 states/eV per cell
# SG: P4/mmm (123)
# Total moment: 0.00 μB per cell
# Volume: 15.716 Å³ per atom
data_TmP2Rh5Au
_symmetry_space_group_name_H-M 'P 1'
_symmetry_Int_Tables_number 1
_cell_length_a 4.117
_cell_length_b 4.117
_cell_length_c 8.345
_cell_angle_alpha 90.00
_cell_angle_beta 90.00
_cell_angle_gamma 90.00
loop_
_symmetry_equiv_pos_as_xyz
'x,y,z'
loop_
_atom_site_label
_atom_site_type_symbol
_atom_site_fract_x
_atom_site_fract_y
_atom_site_fract_z
Tm1 Tm 0.000 0.000 0.000
P1 P 0.500 0.500 0.365
P2 P 0.500 0.500 0.635
Rh1 Rh 0.000 0.500 0.247
Rh2 Rh 0.000 0.500 0.753
Rh3 Rh 0.500 0.000 0.247
Rh4 Rh 0.500 0.000 0.753
Rh5 Rh 0.500 0.500 0.000
Au1 Au 0.000 0.000 0.500


# PBE BeReSi, relaxed
# VASP energy: -7.17 eV per atom
# Fermi-level density of states: 1.1 states/eV per cell
# SG: P3m1 (156)
# ΔE_f (raw): 0.029 eV/atom
# Polymorph energy (0 for the lowest one): 0.2344 eV per atom
# Total moment: 0.00 μB per cell
# Volume: 12.032 Å³ per atom
data_BeReSi
_symmetry_space_group_name_H-M 'P 1'
_symmetry_Int_Tables_number 1
_cell_length_a 3.969
_cell_length_b 3.969
_cell_length_c 2.645
_cell_angle_alpha 90.00
_cell_angle_beta 90.00
_cell_angle_gamma 120.00
loop_
_symmetry_equiv_pos_as_xyz
'x,y,z'
loop_
_atom_site_label
_atom_site_type_symbol
_atom_site_fract_x
_atom_site_fract_y
_atom_site_fract_z
Be1 Be 0.000 0.000 0.000
Re1 Re 0.667 0.333 0.549
Si1 Si 0.333 0.667 0.936